The following is a GGA-PBE calculation of crystalline LaNd2Er2Tm at its relaxed geometry, from Alexandria via LeMat-Bulk.

Lattice parameters (Å, degrees): 7.0454 9.8949 5.6714 90.00 90.00 90.00
Fractional positions:
La (0.0000, 0.0000, 0.0000)
La (0.5000, 0.5000, 0.5000)
Nd (0.2458, 0.3333, 0.0000)
Nd (0.2542, 0.8333, 0.5000)
Nd (0.7458, 0.1667, 0.5000)
Nd (0.7542, 0.6667, 0.0000)
Er (0.2501, 0.1667, 0.5000)
Er (0.2499, 0.6667, 0.0000)
Er (0.7501, 0.3333, 0.0000)
Er (0.7499, 0.8333, 0.5000)
Tm (0.0000, 0.5000, 0.5000)
Tm (0.5000, 0.0000, 0.0000)

ρ   7.82 g/cm³
Energy of formation from the pure elements   1.49 kcal/mol of atoms
Total DFT energy (no corrections)   -55.34 eV for the cell shown
DOS(E_F)   9.02 states/eV/f.u.
Calculated volume   32.948 Å³/atom